VPdNF2 | PBE+U | optimized geometry

Cell lengths 3.9515, 3.9515, 3.9322 Å; angles 90.00, 90.00, 90.00 degrees
Sites, in units of the cell vectors:
V (0.0000, 0.0000, 0.0000)
Pd (0.5000, 0.5000, 0.5000)
N (0.0000, 0.0000, 0.5000)
F (0.0000, 0.5000, 0.0000)
F (0.5000, 0.0000, 0.0000)

Values from the calculation:
Calculated volume   12.28 Å³/atom
Magnetic moment   0.398 μB per atom
Crystal system   tetragonal
VASP energy   -28.31 eV/cell